No. 1
## NaSr2AsO (PBE)

Data for a relaxed structure of NaSr2AsO.

a = 5.0334 Å, b = 5.0334 Å, c = 4.5945 Å
α = 90.00°, β = 90.00°, γ = 90.00°
Space group P4/mmm (No. 123)
Inequivalent atoms, fractional coordinates:
Na (0.0000, 0.0000, 0.0000)
Sr (0.0000, 0.5000, 0.5000)
As (0.5000, 0.5000, 0.0000)
O (0.0000, 0.0000, 0.5000)

Properties
Magnetic moment: 0.0 μB/cell
Density: 4.1 g/cm³
Energy relative to the elements, uncorrected: -1.57 eV per atom


No. 2
## NaSrAsO4 (PBE)

Data for a relaxed structure of NaSrAsO4.

a = 6.3336 Å, b = 7.0561 Å, c = 9.0634 Å
α = 90.00°, β = 90.00°, γ = 90.00°
Space group Imma (No. 74)
Inequivalent atoms, fractional coordinates:
Na (0.2500, 0.2500, 0.2500)
Sr (0.0000, 0.0000, 0.0000)
As (0.0000, 0.2500, 0.6194)
O (0.0000, 0.0459, 0.7248)
O (0.2228, 0.2500, 0.5054)

Properties
Magnetic moment: 0.0 μB/cell
Density: 4.1 g/cm³
Energy relative to the elements, uncorrected: -1.92 eV per atom


No. 3
## Na2SrAs2O7 (PBE)

Data for a relaxed structure of Na2SrAs2O7.

a = 5.7702 Å, b = 5.7702 Å, c = 22.8402 Å
α = 90.00°, β = 90.00°, γ = 120.00°
Space group R32 (No. 155, hexagonal axes)
Inequivalent atoms, fractional coordinates:
Na (0.0000, 0.0000, 0.2337)
Sr (0.0000, 0.0000, 0.0000)
As (0.0000, 0.0000, 0.4219)
O (0.0000, 0.0000, 0.5000)
O (0.0226, 0.2958, 0.5969)

Properties
Magnetic moment: 0.0 μB/cell
Density: 3.0 g/cm³
Energy relative to the elements, uncorrected: -1.77 eV per atom


No. 4
## NaSr3As2O8 (PBE)

Data for a relaxed structure of NaSr3As2O8.

a = 5.8217 Å, b = 5.8217 Å, c = 7.3473 Å
α = 90.00°, β = 90.00°, γ = 120.00°
Space group P-3m1 (No. 164)
Inequivalent atoms, fractional coordinates:
Na (0.0000, 0.0000, 0.0000)
Sr (0.0000, 0.0000, 0.5000)
Sr (0.3333, 0.6667, 0.1452)
As (0.3333, 0.6667, 0.6987)
O (0.1739, 0.3478, 0.7988)
O (0.3333, 0.6667, 0.4614)

Properties
Magnetic moment: 0.0 μB/cell
Density: 4.3 g/cm³
Energy relative to the elements, uncorrected: -2.03 eV per atom


No. 5
## NaTaAsO6 (PBE)

Data for a relaxed structure of NaTaAsO6.

a = 5.2019 Å, b = 5.2019 Å, c = 10.1775 Å
α = 90.00°, β = 90.00°, γ = 120.00°
Space group P-31c (No. 163)
Inequivalent atoms, fractional coordinates:
Na (0.0000, 0.0000, 0.0000)
Ta (0.3333, 0.6667, 0.2500)
As (0.3333, 0.6667, 0.7500)
O (0.0208, 0.3909, 0.6472)

Properties
Magnetic moment: 2.1 μB/cell
Density: 5.2 g/cm³
Energy relative to the elements, uncorrected: -1.74 eV per atom


No. 6
## NaTaAsO5 (PBE)

Data for a relaxed structure of NaTaAsO5.

a = 7.2452 Å, b = 9.0822 Å, c = 7.6960 Å
α = 90.00°, β = 117.19°, γ = 90.00°
Space group C2/c (No. 15)
Inequivalent atoms, fractional coordinates:
Na (0.0000, 0.1839, 0.2500)
Ta (0.0000, 0.5000, 0.0000)
As (0.0000, 0.1817, 0.7500)
O (0.0000, 0.4531, 0.2500)
O (0.0797, 0.2879, 0.5846)
O (0.1957, 0.0486, 0.8885)

Properties
Magnetic moment: 0.0 μB/cell
Density: 5.3 g/cm³
Energy relative to the elements, uncorrected: -1.98 eV per atom


No. 7
## NaTaAs2O8 (PBE)

Data for a relaxed structure of NaTaAs2O8.

a = 6.8564 Å, b = 6.8564 Å, c = 6.0477 Å
α = 90.00°, β = 90.00°, γ = 90.00°
Space group I-4m2 (No. 119)
Inequivalent atoms, fractional coordinates:
Na (0.0000, 0.0000, 0.0000)
Ta (0.0000, 0.5000, 0.7500)
As (0.0000, 0.0000, 0.5000)
As (0.0000, 0.5000, 0.2500)
O (0.0000, 0.2004, 0.6712)
O (0.0000, 0.3224, 0.0488)

Properties
Magnetic moment: 0.0 μB/cell
Density: 5.6 g/cm³
Energy relative to the elements, uncorrected: -1.66 eV per atom


No. 8
## Na4Tb3AsO8 (PBE)

Data for a relaxed structure of Na4Tb3AsO8.

a = 6.7935 Å, b = 6.7935 Å, c = 16.7330 Å
α = 90.00°, β = 90.00°, γ = 120.00°
Space group R-3m (No. 166, hexagonal axes)
Inequivalent atoms, fractional coordinates:
Na (0.0000, 0.0000, 0.0000)
Na (0.0000, 0.5000, 0.0000)
Tb (0.0000, 0.5000, 0.5000)
As (0.0000, 0.0000, 0.5000)
O (0.0000, 0.0000, 0.2374)
O (0.0070, 0.5035, 0.2377)

Properties
Magnetic moment: 0.0 μB/cell
Density: 5.7 g/cm³
Energy relative to the elements, uncorrected: -2.37 eV per atom